BaSrNdCrO6 | GGA+U | relaxed

Properties
Energy relative to the lowest polymorph listed for this composition: 0.047 eV/atom
Density of states at the Fermi level: 0.38 states/eV/atom

Cell: 5.9481 5.9481 5.9481 Å, 60.00 60.00 60.00°
Closest atoms and distances in Å follow each position.
Sites, in units of the cell vectors:
1 Ba 0.2500 0.2500 0.2500  12 O 2.98
2 Sr 0.7500 0.7500 0.7500  12 O 2.98
3 Nd 0.5000 0.5000 0.5000  6 O 2.31
4 Cr 0.0000 0.0000 0.0000  6 O 1.90
5 O 0.2259 0.7741 0.2259  1 Cr 1.90
6 O 0.7741 0.2259 0.7741  1 Cr 1.90
7 O 0.2259 0.7741 0.7741  1 Cr 1.90
8 O 0.7741 0.2259 0.2259  1 Cr 1.90
9 O 0.2259 0.2259 0.7741  1 Cr 1.90
10 O 0.7741 0.7741 0.2259  1 Cr 1.90